1.
Entry from Alexandria: MgMnPb2 at its PBEsol-relaxed geometry (SCAN).

Properties
formation energy from the elements	0.73	eV/f.u.
total magnetization	1.17	μB per atom
uncorrected energy	-43.515	eV per atom
N(E_F)	0.446	states/eV/atom

Cell lengths 5.1673, 5.1673, 5.1673 Å; angles 60.00, 60.00, 60.00 degrees
Closest atoms and distances in Å follow each position.
Atoms (fractional coordinates):
Mg (0.0000, 0.0000, 0.0000)  4 Mn 3.16, 4 Pb 3.16
Mn (0.7500, 0.7500, 0.7500)  4 Mg 3.16, 4 Pb 3.16
Pb (0.2500, 0.2500, 0.2500)  4 Pb 3.16, 4 Mg 3.16
Pb (0.5000, 0.5000, 0.5000)  4 Mn 3.16, 4 Pb 3.16


2.
Entry from Alexandria: Al2In3 at its PBEsol-relaxed geometry (SCAN).

Properties
formation energy from the elements	0.73	eV/f.u.
total magnetization	0.00	μB per atom
uncorrected energy	-22.986	eV per atom
N(E_F)	0.474	states/eV/atom

Cell lengths 4.8108, 4.8108, 5.8405 Å; angles 90.00, 90.00, 120.00 degrees
Closest atoms and distances in Å follow each position.
Atoms (fractional coordinates):
Al (0.3333, 0.6667, 0.3547)  8 In 2.88-3.05
Al (0.6667, 0.3333, 0.6453)  8 In 2.88-3.05
In (0.0000, 0.0000, 0.5000)  6 Al 2.90
In (0.3333, 0.6667, 0.8619)  5 Al 2.88-3.05, 3 In 3.21
In (0.6667, 0.3333, 0.1381)  5 Al 2.88-3.05, 3 In 3.21


3.
Entry from Alexandria: ClF3 at its PBEsol-relaxed geometry (SCAN).

Properties
formation energy (no corrections)	-2.4	eV/f.u.
total magnetization	0.00	μB per atom
uncorrected energy	-5.261	eV per atom
N(E_F)	0.000	states/eV/atom

Cell lengths 8.7476, 6.0852, 4.4935 Å; angles 90.00, 90.00, 90.00 degrees
Closest atoms and distances in Å follow each position.
Atoms (fractional coordinates):
Cl (0.1602, 0.2500, 0.1152)  3 F 1.62-1.73
Cl (0.3398, 0.7500, 0.6152)  3 F 1.62-1.73
Cl (0.6602, 0.2500, 0.3848)  3 F 1.62-1.73
Cl (0.8398, 0.7500, 0.8848)  3 F 1.62-1.73
F (0.0456, 0.2500, 0.3984)  1 Cl 1.62
F (0.1541, 0.5346, 0.1285)  1 Cl 1.73
F (0.1541, 0.9654, 0.1285)  1 Cl 1.73
F (0.3459, 0.0346, 0.6285)  1 Cl 1.73
F (0.3459, 0.4654, 0.6285)  1 Cl 1.73
F (0.4544, 0.7500, 0.8984)  1 Cl 1.62
F (0.5456, 0.2500, 0.1016)  1 Cl 1.62
F (0.6541, 0.5346, 0.3715)  1 Cl 1.73
F (0.6541, 0.9654, 0.3715)  1 Cl 1.73
F (0.8459, 0.0346, 0.8715)  1 Cl 1.73
F (0.8459, 0.4654, 0.8715)  1 Cl 1.73
F (0.9544, 0.7500, 0.6016)  1 Cl 1.62


4.
Entry from Alexandria: TcSb2Te at its PBEsol-relaxed geometry (SCAN).

Properties
energy relative to the lowest polymorph listed for this composition	226	meV/atom
formation energy (no corrections)	2.8	eV/f.u.
total magnetization	0.00	μB per atom
uncorrected energy	-36.015	eV per atom
N(E_F)	0.698	states/eV/atom

Cell lengths 5.2525, 5.2525, 5.2525 Å; angles 128.81, 128.81, 75.32 degrees
Closest atoms and distances in Å follow each position.
Atoms (fractional coordinates):
Tc (0.0000, 0.0000, 0.0000)  8 Sb 3.08, 4 Te 3.21
Sb (0.2500, 0.7500, 0.5000)  4 Tc 3.08, 4 Te 3.08, 4 Sb 3.21
Sb (0.7500, 0.2500, 0.5000)  4 Tc 3.08, 4 Te 3.08, 4 Sb 3.21
Te (0.5000, 0.5000, 0.0000)  8 Sb 3.08, 4 Tc 3.21


5.
Entry from Alexandria: AlAg2Mo at its PBEsol-relaxed geometry (SCAN).

Properties
formation energy from the elements	0.95	eV/f.u.
total magnetization	0.00	μB per atom
uncorrected energy	-26.104	eV per atom
N(E_F)	0.486	states/eV/atom

Cell lengths 9.4641, 9.4641, 9.4641 Å; angles 16.94, 16.94, 16.94 degrees
Closest atoms and distances in Å follow each position.
Atoms (fractional coordinates):
Al (0.0000, 0.0000, 0.0000)  6 Ag 2.76, 6 Al 2.79
Ag (0.2530, 0.2530, 0.2530)  3 Al 2.76, 6 Ag 2.79, 3 Mo 2.90
Ag (0.7470, 0.7470, 0.7470)  3 Al 2.76, 6 Ag 2.79, 3 Mo 2.90
Mo (0.5000, 0.5000, 0.5000)  6 Mo 2.79, 6 Ag 2.90


6.
Entry from Alexandria: SrGa2Cu2 at its PBEsol-relaxed geometry (SCAN).

Properties
formation energy from the elements	-1.74	eV/f.u.
total magnetization	0.00	μB per atom
uncorrected energy	-17.421	eV per atom
N(E_F)	0.505	states/eV/atom

Cell lengths 5.8341, 5.8341, 5.8341 Å; angles 136.65, 136.65, 62.97 degrees
Closest atoms and distances in Å follow each position.
Atoms (fractional coordinates):
Sr (0.0000, 0.0000, 0.0000)  8 Cu 3.29, 10 Ga 3.33-3.64
Ga (0.3661, 0.3661, 0.0000)  4 Cu 2.44, 1 Ga 2.66
Ga (0.6339, 0.6339, 0.0000)  4 Cu 2.44, 1 Ga 2.66
Cu (0.2500, 0.7500, 0.5000)  4 Ga 2.44
Cu (0.7500, 0.2500, 0.5000)  4 Ga 2.44


7.
Entry from Alexandria: ScCuCl at its PBEsol-relaxed geometry (SCAN).

Properties
formation energy (no corrections)	-0.9	eV/f.u.
total magnetization	0.30	μB per atom
uncorrected energy	-12.777	eV per atom
N(E_F)	0.664	states/eV/atom

Cell lengths 4.3725, 4.3725, 4.3725 Å; angles 60.00, 60.00, 60.00 degrees
Closest atoms and distances in Å follow each position.
Atoms (fractional coordinates):
Sc (0.0000, 0.0000, 0.0000)  4 Cl 2.68, 4 Cu 2.68
Cu (0.2500, 0.2500, 0.2500)  4 Sc 2.68
Cl (0.7500, 0.7500, 0.7500)  4 Sc 2.68


8.
Entry from Alexandria: Re2Ag at its PBEsol-relaxed geometry (SCAN).

Properties
formation energy from the elements	1.63	eV/f.u.
total magnetization	0.00	μB per atom
uncorrected energy	-57.312	eV per atom
N(E_F)	0.577	states/eV/atom

Cell lengths 4.4568, 4.4568, 2.6491 Å; angles 90.00, 90.00, 120.00 degrees
Closest atoms and distances in Å follow each position.
Atoms (fractional coordinates):
Re (0.3333, 0.6667, 0.1151)  5 Re 2.64-2.65, 3 Ag 2.77
Re (0.6667, 0.3333, 0.8849)  5 Re 2.64-2.65, 3 Ag 2.77
Ag (0.0000, 0.0000, 0.5000)  2 Ag 2.65, 6 Re 2.77


9.
Entry from Alexandria: SrAl2W at its PBEsol-relaxed geometry (SCAN).

Properties
energy relative to the lowest polymorph listed for this composition	458	meV/atom
formation energy from the elements	2.50	eV/f.u.
total magnetization	0.00	μB per atom
uncorrected energy	-26.243	eV per atom
N(E_F)	0.721	states/eV/atom

Cell lengths 5.2316, 5.2316, 2.8578 Å; angles 90.00, 90.00, 105.99 degrees
Closest atoms and distances in Å follow each position.
Atoms (fractional coordinates):
Sr (0.0000, 0.0000, 0.0000)  2 Sr 2.86, 8 Al 2.98, 2 W 3.15
Al (0.0000, 0.5000, 0.5000)  4 Al 2.86-3.15, 4 W 2.98, 4 Sr 2.98
Al (0.5000, 0.0000, 0.5000)  4 Al 2.86-3.15, 4 W 2.98, 4 Sr 2.98
W (0.5000, 0.5000, 0.0000)  2 W 2.86, 8 Al 2.98, 2 Sr 3.15


10.
Entry from Alexandria: Sr2TaTl at its PBEsol-relaxed geometry (SCAN).

Properties
energy relative to the lowest polymorph listed for this composition	91	meV/atom
formation energy from the elements	2.53	eV/f.u.
total magnetization	0.48	μB per atom
uncorrected energy	-45.241	eV per atom
N(E_F)	0.575	states/eV/atom

Cell lengths 6.0445, 6.0445, 6.0445 Å; angles 134.67, 134.67, 66.05 degrees
Closest atoms and distances in Å follow each position.
Atoms (fractional coordinates):
Sr (0.2500, 0.7500, 0.5000)  4 Sr 3.29, 4 Tl 3.44, 4 Ta 3.44
Sr (0.7500, 0.2500, 0.5000)  4 Sr 3.29, 4 Tl 3.44, 4 Ta 3.44
Ta (0.0000, 0.0000, 0.0000)  4 Tl 3.29, 8 Sr 3.44
Tl (0.5000, 0.5000, 0.0000)  4 Ta 3.29, 8 Sr 3.44


11.
Entry from Alexandria: Sr2Cu at its PBEsol-relaxed geometry (SCAN).

Properties
formation energy from the elements	0.10	eV/f.u.
total magnetization	0.00	μB per atom
uncorrected energy	-19.883	eV per atom
N(E_F)	0.717	states/eV/atom

Cell lengths 7.2072, 7.2072, 7.4375 Å; angles 90.00, 90.00, 147.40 degrees
Closest atoms and distances in Å follow each position.
Atoms (fractional coordinates):
Sr (0.0123, 0.9877, 0.5000)  4 Cu 3.13-3.21
Sr (0.2757, 0.7243, 0.3184)  3 Cu 3.11-3.37
Sr (0.7243, 0.2757, 0.8184)  3 Cu 3.11-3.37
Sr (0.9877, 0.0123, 0.0000)  4 Cu 3.13-3.21
Cu (0.3872, 0.6128, 0.7210)  7 Sr 3.11-3.37
Cu (0.6128, 0.3872, 0.2210)  7 Sr 3.11-3.37


12.
Entry from Alexandria: Mg3BO3F3 at its PBEsol-relaxed geometry (SCAN).

Properties
formation energy (no corrections)	-33.5	eV/f.u.
total magnetization	0.00	μB per atom
uncorrected energy	-8.518	eV per atom
N(E_F)	0.000	states/eV/atom

Cell lengths 8.8298, 8.8298, 3.1008 Å; angles 90.00, 90.00, 120.00 degrees
Closest atoms and distances in Å follow each position.
Atoms (fractional coordinates):
Mg (0.0302, 0.3673, 0.2500)  3 F 1.96-1.99, 3 O 2.09-2.11
Mg (0.3371, 0.9698, 0.2500)  3 F 1.96-1.99, 3 O 2.09-2.11
Mg (0.3673, 0.3371, 0.7500)  3 F 1.96-1.99, 3 O 2.09-2.11
Mg (0.6327, 0.6629, 0.2500)  3 F 1.96-1.99, 3 O 2.09-2.11
Mg (0.6629, 0.0302, 0.7500)  3 F 1.96-1.99, 3 O 2.09-2.11
Mg (0.9698, 0.6327, 0.7500)  3 F 1.96-1.99, 3 O 2.09-2.11
B (0.3333, 0.6667, 0.7500)  3 O 1.39
B (0.6667, 0.3333, 0.2500)  3 O 1.39
O (0.1542, 0.5501, 0.7500)  1 B 1.39
O (0.3958, 0.8458, 0.7500)  1 B 1.39
O (0.4499, 0.6042, 0.7500)  1 B 1.39
O (0.5501, 0.3958, 0.2500)  1 B 1.39
O (0.6042, 0.1542, 0.2500)  1 B 1.39
O (0.8458, 0.4499, 0.2500)  1 B 1.39
F (0.0895, 0.7896, 0.2500)  3 Mg 1.96-1.99
F (0.2104, 0.2999, 0.2500)  3 Mg 1.96-1.99
F (0.2999, 0.0895, 0.7500)  3 Mg 1.96-1.99
F (0.7001, 0.9105, 0.2500)  3 Mg 1.96-1.99
F (0.7896, 0.7001, 0.7500)  3 Mg 1.96-1.99
F (0.9105, 0.2104, 0.7500)  3 Mg 1.96-1.99


Question: Which value of N(E_F) does entry 5 give?
Answer: 0.486 states/eV/atom